No. 1
# K2BiSb2 PBE optimized geometry
# Formation energy without anion corrections in eV/atom: -0.3133
# Energy above the most stable polymorph in this dataset in meV/atom: 11
data_K2BiSb2
_cell_length_a 12.737
_cell_length_b 5.862
_cell_length_c 11.393
_cell_angle_alpha 90.00
_cell_angle_beta 116.62
_cell_angle_gamma 90.00
_space_group_name_H-M_alt 'C 1 2/m 1'
_space_group_IT_number 12
loop_
_space_group_symop_operation_xyz
'x,y,z'
'-x,-y,-z'
'-x,y,-z'
'x,-y,z'
'x+1/2,y+1/2,z'
'-x+1/2,-y+1/2,-z'
'-x+1/2,y+1/2,-z'
'x+1/2,-y+1/2,z'
loop_
_atom_site_label
_atom_site_fract_x
_atom_site_fract_y
_atom_site_fract_z
K1 0.073 0.000 0.377
K2 0.211 0.500 0.214
Bi1 0.109 0.500 0.857
Sb1 0.116 0.000 0.988
Sb2 0.122 0.500 0.597

No. 2
# KBi2Sb2 PBE optimized geometry
# Formation energy without anion corrections in eV/atom: -0.1367
# Energy above the most stable polymorph in this dataset in meV/atom: 0
data_KBi2Sb2
_cell_length_a 5.847
_cell_length_b 5.847
_cell_length_c 11.212
_cell_angle_alpha 90.00
_cell_angle_beta 90.00
_cell_angle_gamma 90.00
_space_group_name_H-M_alt 'I 4/m m m'
_space_group_IT_number 139
_space_group_name_Hall '-I 4 2'
loop_
_atom_site_label
_atom_site_fract_x
_atom_site_fract_y
_atom_site_fract_z
K1 0.000 0.000 0.000
Bi1 0.000 0.000 0.352
Sb1 0.000 0.500 0.250

No. 3
# KBi2Sb PBE optimized geometry
# Formation energy without anion corrections in eV/atom: -0.0886
data_KBi2Sb
_cell_length_a 5.003
_cell_length_b 5.003
_cell_length_c 5.040
_cell_angle_alpha 90.00
_cell_angle_beta 90.00
_cell_angle_gamma 90.00
_space_group_name_H-M_alt 'P 4/m m m'
_space_group_IT_number 123
_space_group_name_Hall '-P 4 2'
loop_
_atom_site_label
_atom_site_fract_x
_atom_site_fract_y
_atom_site_fract_z
K1 0.000 0.000 0.000
Bi1 0.000 0.500 0.500
Sb1 0.500 0.500 0.000